(1)
VASP calculation (GGA-PBE) on a relaxed Sm2ThGa2 crystal.

Values from the calculation:
The value obtained for the calculated formation energy is -0.416 eV/atom. As for the space-group type: C2/m (12). As for the total magnetic moment: 0.00 μB/f.u.

Geometry as CIF:
```
data_Sm2ThGa2
_cell_length_a 5.995
_cell_length_b 5.995
_cell_length_c 6.586
_cell_angle_alpha 123.25
_cell_angle_beta 123.25
_cell_angle_gamma 45.59
_symmetry_space_group_name_H-M 'P 1'
_symmetry_Int_Tables_number 1
_symmetry_space_group_name_Hall 'P 1'
loop_
_atom_site_label
_atom_site_type_symbol
_atom_site_fract_x
_atom_site_fract_y
_atom_site_fract_z
_atom_site_occupancy
Sm1 Sm 0.199 0.199 0.197 1
Sm2 Sm 0.801 0.801 0.803 1
Th1 Th 0.000 0.000 0.500 1
Ga1 Ga 0.500 0.500 0.200 1
Ga2 Ga 0.500 0.500 0.800 1
```



(2)
VASP calculation (GGA-PBE) on a relaxed Sm2ThGa6 crystal.

Values from the calculation:
The value obtained for the calculated formation energy is -0.411 eV/atom. The calculation puts the energy relative to the lowest polymorph listed for this composition at 256 meV/atom. As for the space-group type: Immm (71). As for the total magnetic moment: 0.00 μB/f.u.

Geometry as CIF:
```
data_Sm2ThGa6
_cell_length_a 7.989
_cell_length_b 7.989
_cell_length_c 7.989
_cell_angle_alpha 148.60
_cell_angle_beta 126.39
_cell_angle_gamma 63.46
_symmetry_space_group_name_H-M 'P 1'
_symmetry_Int_Tables_number 1
_symmetry_space_group_name_Hall 'P 1'
loop_
_atom_site_label
_atom_site_type_symbol
_atom_site_fract_x
_atom_site_fract_y
_atom_site_fract_z
_atom_site_occupancy
Sm1 Sm 0.134 0.134 0.000 1
Sm2 Sm 0.866 0.866 0.000 1
Th1 Th 0.500 0.000 0.500 1
Ga1 Ga 0.144 0.328 0.816 1
Ga2 Ga 0.179 0.500 0.679 1
Ga3 Ga 0.487 0.672 0.816 1
Ga4 Ga 0.513 0.328 0.184 1
Ga5 Ga 0.821 0.500 0.321 1
Ga6 Ga 0.856 0.672 0.184 1
```



(3)
VASP calculation (GGA-PBE) on a relaxed SmTh2Ga crystal.

Values from the calculation:
The value obtained for the calculated formation energy is 0.114 eV/atom. The calculation puts the energy relative to the lowest polymorph listed for this composition at 288 meV/atom. As for the space-group type: R-3m (166). As for the total magnetic moment: 0.00 μB/f.u.

Geometry as CIF:
```
data_SmTh2Ga
_cell_length_a 11.967
_cell_length_b 11.967
_cell_length_c 11.967
_cell_angle_alpha 16.38
_cell_angle_beta 16.38
_cell_angle_gamma 16.38
_symmetry_space_group_name_H-M 'P 1'
_symmetry_Int_Tables_number 1
_symmetry_space_group_name_Hall 'P 1'
loop_
_atom_site_label
_atom_site_type_symbol
_atom_site_fract_x
_atom_site_fract_y
_atom_site_fract_z
_atom_site_occupancy
Sm1 Sm 0.000 0.000 0.000 1
Th1 Th 0.096 0.096 0.096 1
Th2 Th 0.904 0.904 0.904 1
Ga1 Ga 0.500 0.500 0.500 1
```



(4)
VASP calculation (GGA-PBE) on a relaxed SmTh2Ga2 crystal.

Values from the calculation:
The value obtained for the calculated formation energy is -0.120 eV/atom. The calculation puts the energy relative to the lowest polymorph listed for this composition at 306 meV/atom. As for the space-group type: Cmcm (63). As for the total magnetic moment: 0.00 μB/f.u.

Geometry as CIF:
```
data_SmTh2Ga2
_cell_length_a 8.720
_cell_length_b 8.720
_cell_length_c 5.487
_cell_angle_alpha 90.00
_cell_angle_beta 90.00
_cell_angle_gamma 137.70
_symmetry_space_group_name_H-M 'P 1'
_symmetry_Int_Tables_number 1
_symmetry_space_group_name_Hall 'P 1'
loop_
_atom_site_label
_atom_site_type_symbol
_atom_site_fract_x
_atom_site_fract_y
_atom_site_fract_z
_atom_site_occupancy
Sm1 Sm 0.000 0.000 0.000 1
Sm2 Sm 0.000 0.000 0.500 1
Th1 Th 0.206 0.794 0.750 1
Th2 Th 0.410 0.590 0.250 1
Th3 Th 0.590 0.410 0.750 1
Th4 Th 0.794 0.206 0.250 1
Ga1 Ga 0.124 0.392 0.750 1
Ga2 Ga 0.392 0.124 0.250 1
Ga3 Ga 0.608 0.876 0.750 1
Ga4 Ga 0.876 0.608 0.250 1
```



(5)
VASP calculation (GGA-PBE) on a relaxed SmTh2Ga crystal.

Values from the calculation:
The value obtained for the calculated formation energy is -0.174 eV/atom. The calculation puts the energy relative to the lowest polymorph listed for this composition at 0 meV/atom. As for the space-group type: P4/mmm (123). As for the total magnetic moment: 0.00 μB/f.u.

Geometry as CIF:
```
data_SmTh2Ga
_cell_length_a 4.798
_cell_length_b 4.798
_cell_length_c 4.901
_cell_angle_alpha 90.00
_cell_angle_beta 90.00
_cell_angle_gamma 90.00
_symmetry_space_group_name_H-M 'P 1'
_symmetry_Int_Tables_number 1
_symmetry_space_group_name_Hall 'P 1'
loop_
_atom_site_label
_atom_site_type_symbol
_atom_site_fract_x
_atom_site_fract_y
_atom_site_fract_z
_atom_site_occupancy
Sm1 Sm 0.000 0.000 0.000 1
Th1 Th 0.000 0.500 0.500 1
Th2 Th 0.500 0.000 0.500 1
Ga1 Ga 0.500 0.500 0.000 1
```



(6)
VASP calculation (GGA-PBE) on a relaxed SmThGa2 crystal.

Values from the calculation:
The value obtained for the calculated formation energy is -0.486 eV/atom. The calculation puts the energy relative to the lowest polymorph listed for this composition at 73 meV/atom. As for the space-group type: P4/mmm (123). As for the total magnetic moment: 0.00 μB/f.u.

Geometry as CIF:
```
data_SmThGa2
_cell_length_a 3.463
_cell_length_b 3.463
_cell_length_c 8.203
_cell_angle_alpha 90.00
_cell_angle_beta 90.00
_cell_angle_gamma 90.00
_symmetry_space_group_name_H-M 'P 1'
_symmetry_Int_Tables_number 1
_symmetry_space_group_name_Hall 'P 1'
loop_
_atom_site_label
_atom_site_type_symbol
_atom_site_fract_x
_atom_site_fract_y
_atom_site_fract_z
_atom_site_occupancy
Sm1 Sm 0.000 0.000 0.000 1
Th1 Th 0.000 0.000 0.500 1
Ga1 Ga 0.500 0.500 0.245 1
Ga2 Ga 0.500 0.500 0.755 1
```